(1)
Below is crystalline La6PrSc2 at its relaxed geometry, with properties calculated at the GGA-PBE level.

```
La6PrSc2
1.0
3.096 -5.477 0.000
3.096 5.477 0.000
0.000 0.000 8.889
La Pr Sc
6 1 2
direct
0.163 0.343 0.653 La
0.169 0.831 0.000 La
0.343 0.163 0.347 La
0.657 0.837 0.347 La
0.831 0.169 0.000 La
0.837 0.657 0.653 La
0.500 0.500 0.000 Pr
0.000 0.500 0.322 Sc
0.500 0.000 0.678 Sc
```

The density of states at the Fermi level comes out at 16.95 states/eV per cell. Its energy of formation is 0.11 eV per atom. The calculation puts the uncorrected energy at -5.1146 eV/atom. As for the symmetry: C222 (21).



(2)
Below is crystalline LaPrSc2 at its relaxed geometry, with properties calculated at the GGA-PBE level.

```
LaPrSc2
1.0
3.508 0.000 0.000
-1.754 3.038 0.000
0.000 0.000 33.632
La Pr Sc
3 3 6
direct
0.000 0.000 0.000 La
0.333 0.667 0.667 La
0.667 0.333 0.333 La
0.000 0.000 0.834 Pr
0.333 0.667 0.500 Pr
0.667 0.333 0.167 Pr
0.000 0.000 0.416 Sc
0.000 0.000 0.584 Sc
0.333 0.667 0.082 Sc
0.333 0.667 0.251 Sc
0.667 0.333 0.749 Sc
0.667 0.333 0.917 Sc
```

The density of states at the Fermi level comes out at 18.96 states/eV per cell. Its energy of formation is 0.09 eV per atom. The calculation puts the uncorrected energy at -5.4990 eV/atom. The value obtained for the energy above the most stable polymorph in this dataset is 39 meV/atom. As for the symmetry: R3m (160).



(3)
Below is crystalline LaPrSc2 at its relaxed geometry, with properties calculated at the GGA-PBE level.

```
LaPrSc2
1.0
3.696 0.000 0.000
0.000 3.696 0.000
0.000 0.000 8.835
La Pr Sc
1 1 2
direct
0.000 0.000 0.000 La
0.000 0.000 0.500 Pr
0.500 0.500 0.251 Sc
0.500 0.500 0.749 Sc
```

The density of states at the Fermi level comes out at 5.58 states/eV per cell. Its energy of formation is 0.06 eV per atom. The calculation puts the uncorrected energy at -5.5355 eV/atom. The value obtained for the energy above the most stable polymorph in this dataset is 3 meV/atom. As for the symmetry: P4/mmm (123).



(4)
Below is crystalline La2Pr2Sc at its relaxed geometry, with properties calculated at the GGA-PBE level.

```
La2Pr2Sc
1.0
3.953 -6.873 0.000
3.953 6.873 0.000
0.000 0.000 6.488
La Pr Sc
4 4 2
direct
0.106 0.305 0.250 La
0.305 0.106 0.750 La
0.695 0.894 0.250 La
0.894 0.695 0.750 La
0.168 0.832 0.250 Pr
0.305 0.695 0.750 Pr
0.695 0.305 0.250 Pr
0.832 0.168 0.750 Pr
0.500 0.500 0.000 Sc
0.500 0.500 0.500 Sc
```

The density of states at the Fermi level comes out at 12.29 states/eV per cell. Its energy of formation is 0.20 eV per atom. The calculation puts the uncorrected energy at -4.9442 eV/atom. The value obtained for the energy above the most stable polymorph in this dataset is 82 meV/atom. As for the symmetry: Cmcm (63).



(5)
Below is crystalline La5Pr2Sc at its relaxed geometry, with properties calculated at the GGA-PBE level.

```
La5Pr2Sc
1.0
10.145 0.000 0.000
0.000 14.867 0.000
0.000 0.000 3.703
La Pr Sc
10 4 2
direct
0.000 0.000 0.000 La
0.239 0.382 0.500 La
0.239 0.618 0.500 La
0.261 0.118 0.500 La
0.261 0.882 0.500 La
0.500 0.500 0.000 La
0.739 0.118 0.500 La
0.739 0.882 0.500 La
0.761 0.382 0.500 La
0.761 0.618 0.500 La
0.000 0.248 0.000 Pr
0.000 0.752 0.000 Pr
0.500 0.252 0.000 Pr
0.500 0.748 0.000 Pr
0.000 0.500 0.000 Sc
0.500 0.000 0.000 Sc
```

The density of states at the Fermi level comes out at 28.22 states/eV per cell. Its energy of formation is 0.03 eV per atom. The calculation puts the uncorrected energy at -5.0342 eV/atom. As for the symmetry: Cmmm (65).



(6)
Below is crystalline LaPr7Sc2 at its relaxed geometry, with properties calculated at the GGA-PBE level.

```
LaPr7Sc2
1.0
5.556 0.000 0.000
-0.007 7.164 0.000
-2.767 -3.568 8.538
La Pr Sc
1 7 2
direct
0.000 0.000 0.000 La
0.000 0.500 0.000 Pr
0.203 0.203 0.406 Pr
0.388 0.140 0.777 Pr
0.389 0.637 0.777 Pr
0.611 0.363 0.223 Pr
0.612 0.860 0.223 Pr
0.797 0.797 0.594 Pr
0.198 0.698 0.396 Sc
0.802 0.302 0.604 Sc
```

The density of states at the Fermi level comes out at 16.65 states/eV per cell. Its energy of formation is 0.05 eV per atom. The calculation puts the uncorrected energy at -5.0552 eV/atom. As for the symmetry: P-1 (2).



(7)
Below is crystalline La8Pr6Sc at its relaxed geometry, with properties calculated at the GGA-PBE level.

```
La8Pr6Sc
1.0
5.054 2.918 6.065
-5.054 2.918 6.065
0.000 -5.836 6.065
La Pr Sc
8 6 1
direct
0.088 0.088 0.088 La
0.151 0.275 0.565 La
0.275 0.565 0.151 La
0.435 0.849 0.725 La
0.565 0.151 0.275 La
0.725 0.435 0.849 La
0.849 0.725 0.435 La
0.912 0.912 0.912 La
0.119 0.579 0.782 Pr
0.218 0.881 0.421 Pr
0.421 0.218 0.881 Pr
0.579 0.782 0.119 Pr
0.782 0.119 0.579 Pr
0.881 0.421 0.218 Pr
0.500 0.500 0.500 Sc
```

The density of states at the Fermi level comes out at 25.63 states/eV per cell. Its energy of formation is 0.13 eV per atom. The calculation puts the uncorrected energy at -4.8294 eV/atom. The value obtained for the energy above the most stable polymorph in this dataset is 34 meV/atom. As for the symmetry: R-3 (148).



(8)
Below is crystalline La5Pr8Sc at its relaxed geometry, with properties calculated at the GGA-PBE level.

```
La5Pr8Sc
1.0
7.478 -4.466 0.000
7.478 4.466 0.000
-6.041 0.000 7.602
La Pr Sc
5 8 1
direct
0.000 0.000 0.000 La
0.294 0.625 0.137 La
0.375 0.706 0.863 La
0.547 0.242 0.749 La
0.758 0.453 0.251 La
0.050 0.049 0.704 Pr
0.062 0.437 0.655 Pr
0.204 0.478 0.372 Pr
0.477 0.146 0.050 Pr
0.522 0.796 0.628 Pr
0.563 0.938 0.345 Pr
0.854 0.523 0.950 Pr
0.951 0.950 0.296 Pr
0.667 0.333 0.500 Sc
```

The density of states at the Fermi level comes out at 22.27 states/eV per cell. Its energy of formation is 0.18 eV per atom. The calculation puts the uncorrected energy at -4.7613 eV/atom. As for the symmetry: C2 (5).



(9)
Below is crystalline La5PrSc2 at its relaxed geometry, with properties calculated at the GGA-PBE level.

```
La5PrSc2
1.0
2.740 -5.946 0.000
2.740 5.946 0.000
0.000 0.000 16.685
La Pr Sc
10 2 4
direct
0.018 0.982 0.750 La
0.147 0.853 0.036 La
0.147 0.853 0.464 La
0.454 0.546 0.101 La
0.454 0.546 0.399 La
0.546 0.454 0.601 La
0.546 0.454 0.899 La
0.853 0.147 0.536 La
0.853 0.147 0.964 La
0.982 0.018 0.250 La
0.256 0.744 0.250 Pr
0.744 0.256 0.750 Pr
0.269 0.731 0.650 Sc
0.269 0.731 0.850 Sc
0.731 0.269 0.150 Sc
0.731 0.269 0.350 Sc
```

The density of states at the Fermi level comes out at 22.86 states/eV per cell. Its energy of formation is 0.11 eV per atom. The calculation puts the uncorrected energy at -5.1464 eV/atom. As for the symmetry: Cmcm (63).



(10)
Below is crystalline La15Pr4Sc at its relaxed geometry, with properties calculated at the GGA-PBE level.

```
La15Pr4Sc
1.0
5.226 0.000 0.000
0.000 5.226 0.000
0.000 0.000 26.238
La Pr Sc
15 4 1
direct
0.000 0.000 0.000 La
0.000 0.000 0.197 La
0.000 0.000 0.399 La
0.000 0.000 0.601 La
0.000 0.000 0.803 La
0.000 0.500 0.096 La
0.000 0.500 0.298 La
0.000 0.500 0.500 La
0.000 0.500 0.702 La
0.000 0.500 0.904 La
0.500 0.000 0.096 La
0.500 0.000 0.298 La
0.500 0.000 0.500 La
0.500 0.000 0.702 La
0.500 0.000 0.904 La
0.500 0.500 0.197 Pr
0.500 0.500 0.399 Pr
0.500 0.500 0.601 Pr
0.500 0.500 0.803 Pr
0.500 0.500 0.000 Sc
```

The density of states at the Fermi level comes out at 33.79 states/eV per cell. Its energy of formation is 0.01 eV per atom. The calculation puts the uncorrected energy at -4.9533 eV/atom. As for the symmetry: P4/mmm (123).



(11)
Below is crystalline La3Pr3Sc at its relaxed geometry, with properties calculated at the GGA-PBE level.

```
La3Pr3Sc
1.0
5.705 -5.962 0.000
5.705 5.962 0.000
0.000 0.000 7.334
La Pr Sc
6 6 2
direct
0.000 0.000 0.242 La
0.000 0.000 0.758 La
0.000 0.500 0.241 La
0.000 0.500 0.759 La
0.500 0.000 0.241 La
0.500 0.000 0.759 La
0.279 0.721 0.500 Pr
0.286 0.286 0.500 Pr
0.319 0.319 0.000 Pr
0.681 0.681 0.000 Pr
0.714 0.714 0.500 Pr
0.721 0.279 0.500 Pr
0.261 0.739 0.000 Sc
0.739 0.261 0.000 Sc
```

The density of states at the Fermi level comes out at 23.97 states/eV per cell. Its energy of formation is 0.15 eV per atom. The calculation puts the uncorrected energy at -4.9112 eV/atom. The value obtained for the energy above the most stable polymorph in this dataset is 103 meV/atom. As for the symmetry: Cmmm (65).



(12)
Below is crystalline LaPrSc2 at its relaxed geometry, with properties calculated at the GGA-PBE level.

```
LaPrSc2
1.0
7.328 0.000 0.000
0.000 8.973 0.000
0.000 0.000 3.662
La Pr Sc
2 2 4
direct
0.000 0.000 0.000 La
0.500 0.500 0.000 La
0.000 0.500 0.000 Pr
0.500 0.000 0.000 Pr
0.250 0.250 0.500 Sc
0.250 0.750 0.500 Sc
0.750 0.250 0.500 Sc
0.750 0.750 0.500 Sc
```

The density of states at the Fermi level comes out at 11.16 states/eV per cell. Its energy of formation is 0.05 eV per atom. The calculation puts the uncorrected energy at -5.5381 eV/atom. The value obtained for the energy above the most stable polymorph in this dataset is 0 meV/atom. As for the symmetry: Cmmm (65).



Among the records above, which one has the highest uncorrected energy? La5Pr8Sc



Which of these has the lowest uncorrected energy? number 12



Repeat the eleventh record exactly.
Below is crystalline La3Pr3Sc at its relaxed geometry, with properties calculated at the GGA-PBE level.

```
La3Pr3Sc
1.0
5.705 -5.962 0.000
5.705 5.962 0.000
0.000 0.000 7.334
La Pr Sc
6 6 2
direct
0.000 0.000 0.242 La
0.000 0.000 0.758 La
0.000 0.500 0.241 La
0.000 0.500 0.759 La
0.500 0.000 0.241 La
0.500 0.000 0.759 La
0.279 0.721 0.500 Pr
0.286 0.286 0.500 Pr
0.319 0.319 0.000 Pr
0.681 0.681 0.000 Pr
0.714 0.714 0.500 Pr
0.721 0.279 0.500 Pr
0.261 0.739 0.000 Sc
0.739 0.261 0.000 Sc
```

The density of states at the Fermi level comes out at 23.97 states/eV per cell. Its energy of formation is 0.15 eV per atom. The calculation puts the uncorrected energy at -4.9112 eV/atom. The value obtained for the energy above the most stable polymorph in this dataset is 103 meV/atom. As for the symmetry: Cmmm (65).



Which of these has the lowest energy of formation? La15Pr4Sc